! Sc2NO PBE relaxed; values from VASP
&SYSTEM
  ibrav = 0, nat = 16, ntyp = 3
/
ATOMIC_SPECIES
Sc 44.96 Sc.upf
N 14.01 N.upf
O 16.00 O.upf
ATOMIC_POSITIONS crystal
Sc 0.0565 0.4316 0.7381
Sc 0.1741 0.2990 0.2388
Sc 0.2990 0.1741 0.7388
Sc 0.4316 0.0565 0.2381
Sc 0.5684 0.9435 0.7619
Sc 0.7010 0.8259 0.2612
Sc 0.8259 0.7010 0.7612
Sc 0.9435 0.5684 0.2619
N 0.0628 0.9372 0.2500
N 0.1879 0.8121 0.7500
N 0.8121 0.1879 0.2500
N 0.9372 0.0628 0.7500
O 0.3127 0.6873 0.2500
O 0.4377 0.5623 0.7500
O 0.5623 0.4377 0.2500
O 0.6873 0.3127 0.7500
CELL_PARAMETERS angstrom
3.1774 -6.3557 0.0000
3.1774 6.3557 0.0000
-3.1639 0.0000 4.5033
! * formation energy without anion corrections: -2.518 eV/atom
! * DOS at the Fermi energy: 0.26 states/eV per atom
! * energy: -0.6618 Ry/atom
! * space group: No. 15